1.
A geometry-optimized MgCrFe structure, computed with GGA-PBEsol.

Magnetization (μB per atom): 0.001
ΔH_f (0 K) (meV/atom): 277
DOS(E_F) (states/eV/f.u.): 2.51

Cell: 2.806 2.806 5.323 Å, 105.28 105.28 90.00°
Fractional coordinates of all 3 atoms:
Cr (0.028, 0.028, 0.056)
Fe (0.643, 0.643, 0.286)
Mg (0.329, 0.329, 0.658)

2.
A geometry-optimized MnB4W3 structure, computed with GGA-PBEsol.

Magnetization (μB per atom): 0.257
ΔH_f (0 K) (meV/atom): -444
DOS(E_F) (states/eV/f.u.): 3.20

Cell: 3.052 3.121 8.231 Å, 90.00 90.00 90.00°
Each line ends with the local moment (μB).
Fractional coordinates of all 8 atoms:
W (0.500, 0.000, 0.860)  0.06
W (0.000, 0.500, 0.647)  1.94
W (0.500, 0.500, 0.348)  0.03
B (0.500, 0.000, 0.557)  0.00
B (0.000, 0.000, 0.428)  0.00
B (0.000, 0.500, 0.951)  -0.02
B (0.500, 0.500, 0.072)  -0.03
Mn (0.000, 0.000, 0.137)  0.01

3.
A geometry-optimized KBaRu3 structure, computed with GGA-PBEsol.

Magnetization (μB per atom): 0.901
ΔH_f (0 K) (meV/atom): 2528
DOS(E_F) (states/eV/f.u.): 7.64

Cell: 5.106 5.106 5.106 Å, 90.00 90.00 90.00°
Each line ends with the local moment (μB).
Fractional coordinates of all 5 atoms:
Ru (0.000, 0.000, 0.500)  1.45
Ru (0.000, 0.500, 0.000)  1.45
Ru (0.500, 0.000, 0.000)  1.45
K (0.500, 0.500, 0.500)  -0.01
Ba (0.000, 0.000, 0.000)  -0.04

4.
A geometry-optimized KSr2Tl structure, computed with GGA-PBEsol.

Magnetization (μB per atom): 0.000
ΔH_f (0 K) (meV/atom): -207
DOS(E_F) (states/eV/f.u.): 2.70

Cell: 4.046 4.046 11.014 Å, 90.00 90.00 90.00°
Fractional coordinates of all 4 atoms:
Tl (0.500, 0.500, 0.500)
Sr (0.000, 0.000, 0.675)
Sr (0.000, 0.000, 0.325)
K (0.500, 0.500, 0.000)

5.
A geometry-optimized BaAg2W structure, computed with GGA-PBEsol.

Magnetization (μB per atom): 0.000
ΔH_f (0 K) (meV/atom): 893
E above lowest polymorph (meV per atom): 202
DOS(E_F) (states/eV/f.u.): 2.57

Cell: 2.936 5.441 5.441 Å, 110.96 90.00 90.00°
Fractional coordinates of all 4 atoms:
Ag (0.000, 0.500, 0.000)
Ag (0.000, 0.000, 0.500)
Ba (0.500, 0.000, 0.000)
W (0.500, 0.500, 0.500)

6.
A geometry-optimized Mn2FeTc structure, computed with GGA-PBEsol.

Magnetization (μB per atom): 0.298
ΔH_f (0 K) (meV/atom): 170
DOS(E_F) (states/eV/f.u.): 4.88

Cell: 2.535 2.535 8.283 Å, 81.20 81.20 60.00°
Each line ends with the local moment (μB).
Fractional coordinates of all 4 atoms:
Mn (0.001, 0.001, 0.998)  0.04
Mn (0.745, 0.745, 0.765)  0.07
Tc (0.500, 0.500, 0.499)  -0.06
Fe (0.254, 0.254, 0.238)  1.14

7.
A geometry-optimized Li2ScTa structure, computed with GGA-PBEsol.

Magnetization (μB per atom): 0.000
ΔH_f (0 K) (meV/atom): 408
E above lowest polymorph (meV per atom): 0
DOS(E_F) (states/eV/f.u.): 3.89

Cell: 2.768 4.420 6.053 Å, 90.00 90.00 90.00°
Fractional coordinates of all 4 atoms:
Sc (0.000, 0.000, 0.520)
Ta (0.500, 0.500, 0.745)
Li (0.500, 0.500, 0.240)
Li (0.000, 0.000, 0.995)

8.
A geometry-optimized TaCuW3 structure, computed with GGA-PBEsol.

Magnetization (μB per atom): 0.000
ΔH_f (0 K) (meV/atom): 2595
DOS(E_F) (states/eV/f.u.): 2.62

Cell: 4.710 4.710 4.710 Å, 90.00 90.00 90.00°
Fractional coordinates of all 5 atoms:
W (0.000, 0.000, 0.500)
W (0.000, 0.500, 0.000)
W (0.500, 0.000, 0.000)
Cu (0.500, 0.500, 0.500)
Ta (0.000, 0.000, 0.000)

Number 1: raw total energy -6.697 eV per atom. Number 2: raw total energy -10.350 eV per atom. Number 3: raw total energy -4.232 eV per atom. Number 4: raw total energy -2.068 eV per atom. Number 5: raw total energy -4.752 eV per atom. Number 6: raw total energy -9.768 eV per atom. Number 7: raw total energy -5.364 eV per atom. Number 8: raw total energy -9.066 eV per atom.